(1)
BaZn2Hg | PBE-GGA | optimized geometry

The space group is I-4m2 (No. 119) and the conventional cell measures 5.288, 5.288 and 7.773 Å, with angles of 90.00, 90.00 and 90.00 degrees. The asymmetric unit holds Ba at (0.000, 0.000, 0.000), Zn at (0.000, 0.000, 0.500), Zn at (0.000, 0.500, 0.250) and Hg at (0.000, 0.500, 0.750).

As for the formation energy: -0.105 eV/atom. The value obtained for the total energy is -1.2977 eV/atom.

***

(2)
CsCeS2O8 | PBE-GGA | optimized geometry

The space group is P-3 (No. 147) and the conventional cell measures 5.5519, 5.5519 and 8.9728 Å, with angles of 90.00, 90.00 and 120.00 degrees. The asymmetric unit holds Cs at (0.0000, 0.0000, 0.0000), Ce at (0.0000, 0.0000, 0.5000), S at (0.3333, 0.6667, 0.7228), O at (0.1354, 0.3823, 0.6631) and O at (0.3333, 0.6667, 0.8854).

The value obtained for the total energy is -6.6139 eV/atom. As for the formation energy without anion corrections: -2.055 eV/atom.

***

(3)
Y3Al2Cu | PBE-GGA | optimized geometry

The space group is P4/mmm (No. 123) and the conventional cell measures 3.447, 3.447 and 11.512 Å, with angles of 90.00, 90.00 and 90.00 degrees. The asymmetric unit holds Y at (0.000, 0.000, 0.000), Y at (0.000, 0.000, 0.347), Al at (0.500, 0.500, 0.175) and Cu at (0.500, 0.500, 0.500).

As for the formation energy: -0.360 eV/atom. The value obtained for the total energy is -5.5224 eV/atom.

***

(4)
BaCrP | PBE-GGA | optimized geometry

The space group is P-6m2 (No. 187) and the conventional cell measures 4.2999, 4.2999 and 4.8898 Å, with angles of 90.00, 90.00 and 120.00 degrees. The asymmetric unit holds Ba at (0.0000, 0.0000, 0.0000), Cr at (0.6667, 0.3333, 0.5000) and P at (0.3333, 0.6667, 0.5000).

As for the formation energy: -0.378 eV/atom. The value obtained for the total energy is -6.0302 eV/atom.

***

(5)
Pm2NiRh | PBE-GGA | optimized geometry

The space group is Fm-3m (No. 225) and the conventional cell measures 6.998, 6.998 and 6.998 Å, with angles of 90.00, 90.00 and 90.00 degrees. The asymmetric unit holds Pm at (0.250, 0.250, 0.250), Ni at (0.000, 0.000, 0.000) and Rh at (0.000, 0.000, 0.500).

As for the formation energy: -0.478 eV/atom. The value obtained for the total energy is -6.1369 eV/atom.

***

(6)
BaBe2Ru | PBE-GGA | optimized geometry

The space group is Pmmm (No. 47) and the conventional cell measures 3.119, 4.679 and 4.690 Å, with angles of 90.00, 90.00 and 90.00 degrees. The asymmetric unit holds Ba at (0.000, 0.000, 0.000), Be at (0.500, 0.000, 0.500), Be at (0.500, 0.500, 0.000) and Ru at (0.000, 0.500, 0.500).

As for the formation energy: 1.055 eV/atom. The value obtained for the total energy is -3.6082 eV/atom.

***

(7)
NdTm4Cu4 | PBE-GGA | optimized geometry

The space group is P4_2/n (No. 86, origin choice 2) and the conventional cell measures 8.930, 8.930 and 5.588 Å, with angles of 90.00, 90.00 and 90.00 degrees. The asymmetric unit holds Nd at (0.250, 0.250, 0.250), Tm at (0.084, 0.655, 0.150) and Cu at (0.034, 0.604, 0.639).

As for the formation energy: -0.045 eV/atom. The value obtained for the total energy is -4.3823 eV/atom.

***

(8)
CsTlHg2Au | PBE-GGA | optimized geometry

The space group is P4/mmm (No. 123) and the conventional cell measures 5.878, 5.878 and 5.763 Å, with angles of 90.00, 90.00 and 90.00 degrees. The asymmetric unit holds Cs at (0.000, 0.000, 0.000), Tl at (0.500, 0.500, 0.500), Hg at (0.000, 0.500, 0.500) and Au at (0.500, 0.500, 0.000).

As for the formation energy: -0.076 eV/atom. The value obtained for the total energy is -1.4960 eV/atom.

***

(9)
CsBi5Se8 | PBE-GGA | optimized geometry

The space group is C2/m (No. 12) and the conventional cell measures 21.812, 4.236 and 10.492 Å, with angles of 90.00, 103.82 and 90.00 degrees. The asymmetric unit holds Cs at (0.000, 0.000, 0.000), Bi at (0.000, 0.500, 0.500), Bi at (0.155, 0.000, 0.463), Bi at (0.205, 0.000, 0.842), Se at (0.076, 0.000, 0.657), Se at (0.082, 0.500, 0.311), Se at (0.167, 0.500, 0.996) and Se at (0.232, 0.500, 0.653).

The value obtained for the total energy is -3.9531 eV/atom. As for the formation energy without anion corrections: -0.515 eV/atom.

***

(10)
LiFePd4 | PBE-GGA | optimized geometry

The space group is Fddd (No. 70, origin choice 2) and the conventional cell measures 5.552, 9.093 and 14.332 Å, with angles of 90.00, 90.00 and 90.00 degrees. The asymmetric unit holds Li at (0.125, 0.125, 0.125), Fe at (0.125, 0.125, 0.625) and Pd at (0.123, 0.372, 0.528).

As for the formation energy: -0.080 eV/atom. The value obtained for the total energy is -5.2709 eV/atom.

***

(11)
Rb3AsCl2F6 | PBE-GGA | optimized geometry

The space group is C2/m (No. 12) and the conventional cell measures 15.833, 7.870 and 4.916 Å, with angles of 90.00, 90.29 and 90.00 degrees. The asymmetric unit holds Rb at (0.000, 0.000, 0.000), Rb at (0.250, 0.250, 0.500), As at (0.000, 0.500, 0.500), Cl at (0.197, 0.000, 0.993), F at (0.039, 0.338, 0.281) and F at (0.099, 0.500, 0.674).

The value obtained for the total energy is -4.1034 eV/atom. As for the formation energy without anion corrections: -2.231 eV/atom.

***

(12)
SrGeSb2I | PBE-GGA | optimized geometry

The space group is P4/mmm (No. 123) and the conventional cell measures 5.406, 5.406 and 5.984 Å, with angles of 90.00, 90.00 and 90.00 degrees. The asymmetric unit holds Sr at (0.000, 0.000, 0.000), Ge at (0.500, 0.500, 0.500), Sb at (0.000, 0.500, 0.500) and I at (0.500, 0.500, 0.000).

The value obtained for the total energy is -3.3557 eV/atom. As for the formation energy without anion corrections: -0.137 eV/atom.